1.
# Sm5Ho2Sc

Sm5Ho2Sc after structural relaxation (PBE-GGA, the Alexandria database).

Results
The excess energy over the best structure of this formula in the dataset comes out at 0.77 eV/f.u. The value obtained for the formation energy from the elements is 0.1273 eV per atom. The density of states at the Fermi level is 53.5 states/eV per cell. As for the raw total energy: -4.76 eV per atom.

Cell lengths 5.523, 11.798, 16.017 Å; angles 90.00, 90.00, 90.00 degrees
Space group Cmcm (No. 63)
Symmetry-distinct sites (fractional):
Sm 0.000 0.031 0.250 (multiplicity 4)
Sm 0.000 0.118 0.552 (multiplicity 8)
Sm 0.000 0.422 0.593 (multiplicity 8)
Ho 0.000 0.274 0.137 (multiplicity 8)
Sc 0.000 0.244 0.750 (multiplicity 4)


2.
# NbBr2Cl

NbBr2Cl after structural relaxation (PBE-GGA, the Alexandria database).

Results
The excess energy over the best structure of this formula in the dataset comes out at 3.59 eV/f.u. The density of states at the Fermi level is 0.6 states/eV per cell. For the uncorrected formation energy, the calculation gives 0.13 eV/f.u. As for the raw total energy: -3.78 eV per atom.

Cell lengths 6.956, 6.956, 6.956 Å; angles 90.00, 90.00, 90.00 degrees
Space group Fm-3m (No. 225)
Symmetry-distinct sites (fractional):
Nb 0.000 0.000 0.000 (multiplicity 4)
Br 0.250 0.250 0.250 (multiplicity 8)
Cl 0.000 0.000 0.500 (multiplicity 4)


3.
# VHS

VHS after structural relaxation (PBE-GGA, the Alexandria database).

Results
The density of states at the Fermi level is 6.8 states/eV per cell. As for the raw total energy: -6.08 eV per atom.

Cell lengths 12.810, 3.006, 4.668 Å; angles 90.00, 104.89, 90.00 degrees
Space group C2/m (No. 12)
Symmetry-distinct sites (fractional):
V 0.246 0.000 0.253 (multiplicity 4)
H 0.183 0.000 0.855 (multiplicity 4)
S 0.119 0.500 0.325 (multiplicity 4)


4.
# SrMnNi2

SrMnNi2 after structural relaxation (PBE-GGA, the Alexandria database).

Results
The value obtained for the formation energy from the elements is 0.4946 eV per atom. The density of states at the Fermi level is 5.2 states/eV per cell. As for the raw total energy: -5.11 eV per atom.

Cell lengths 3.943, 3.943, 9.007 Å; angles 90.00, 90.00, 90.00 degrees
Space group I-4m2 (No. 119)
Symmetry-distinct sites (fractional):
Sr 0.000 0.000 0.000 (multiplicity 2)
Mn 0.000 0.500 0.750 (multiplicity 2)
Ni 0.000 0.000 0.500 (multiplicity 2)
Ni 0.000 0.500 0.250 (multiplicity 2)


5.
# Pr3Y4Ho2

Pr3Y4Ho2 after structural relaxation (PBE-GGA, the Alexandria database).

Results
The excess energy over the best structure of this formula in the dataset comes out at 0.00 eV/f.u. The value obtained for the formation energy from the elements is 0.0192 eV per atom. The density of states at the Fermi level is 24.4 states/eV per cell. As for the raw total energy: -5.46 eV per atom.

Cell lengths 11.967, 3.609, 14.864 Å; angles 90.00, 111.31, 90.00 degrees
Space group C2/m (No. 12)
Symmetry-distinct sites (fractional):
Pr 0.000 0.000 0.000 (multiplicity 2)
Pr 0.109 0.000 0.442 (multiplicity 4)
Y 0.170 0.500 0.669 (multiplicity 4)
Y 0.222 0.000 0.889 (multiplicity 4)
Ho 0.053 0.500 0.220 (multiplicity 4)


6.
# EuSb6

EuSb6 after structural relaxation (PBE-GGA, the Alexandria database).

Results
The density of states at the Fermi level is 11.1 states/eV per cell. For the uncorrected formation energy, the calculation gives 1.78 eV/f.u. As for the raw total energy: -4.75 eV per atom.

Cell lengths 8.414, 8.414, 8.414 Å; angles 90.00, 90.00, 90.00 degrees
Space group Im-3m (No. 229)
Symmetry-distinct sites (fractional):
Eu 0.000 0.000 0.000 (multiplicity 2)
Sb 0.000 0.250 0.500 (multiplicity 12)


7.
# LuGePdRh

LuGePdRh after structural relaxation (PBE-GGA, the Alexandria database).

Results
The value obtained for the formation energy from the elements is -0.7522 eV per atom. The density of states at the Fermi level is 10.3 states/eV per cell. As for the raw total energy: -6.17 eV per atom.

Cell lengths 6.457, 6.457, 6.457 Å; angles 90.00, 90.00, 90.00 degrees
Space group F-43m (No. 216)
Symmetry-distinct sites (fractional):
Lu 0.000 0.000 0.000 (multiplicity 4)
Ge 0.000 0.000 0.500 (multiplicity 4)
Pd 0.250 0.250 0.250 (multiplicity 4)
Rh 0.250 0.250 0.750 (multiplicity 4)


8.
# ZrHgIr2

ZrHgIr2 after structural relaxation (PBE-GGA, the Alexandria database).

Results
The value obtained for the formation energy from the elements is -0.3440 eV per atom. The density of states at the Fermi level is 0.4 states/eV per cell. As for the raw total energy: -6.99 eV per atom.

Cell lengths 4.284, 4.284, 3.768 Å; angles 90.00, 90.00, 90.00 degrees
Space group P4/mmm (No. 123)
Symmetry-distinct sites (fractional):
Zr 0.000 0.000 0.000 (multiplicity 1)
Hg 0.500 0.500 0.000 (multiplicity 1)
Ir 0.000 0.500 0.500 (multiplicity 2)


What is the formula in the first record? Sm5Ho2Sc


What is the raw total energy in the fourth record? -5.11 eV per atom


Copy entry 1 word for word.
# Sm5Ho2Sc

Sm5Ho2Sc after structural relaxation (PBE-GGA, the Alexandria database).

Results
The excess energy over the best structure of this formula in the dataset comes out at 0.77 eV/f.u. The value obtained for the formation energy from the elements is 0.1273 eV per atom. The density of states at the Fermi level is 53.5 states/eV per cell. As for the raw total energy: -4.76 eV per atom.

Cell lengths 5.523, 11.798, 16.017 Å; angles 90.00, 90.00, 90.00 degrees
Space group Cmcm (No. 63)
Symmetry-distinct sites (fractional):
Sm 0.000 0.031 0.250 (multiplicity 4)
Sm 0.000 0.118 0.552 (multiplicity 8)
Sm 0.000 0.422 0.593 (multiplicity 8)
Ho 0.000 0.274 0.137 (multiplicity 8)
Sc 0.000 0.244 0.750 (multiplicity 4)


Which of these has the highest raw total energy? NbBr2Cl